Entry 1:
Entry from Alexandria via LeMat-Bulk: crystalline Co2MoAu at its relaxed geometry (GGA-PBEsol).

Output
DFT total energy   -7.52 eV/atom
N(E_F)   4.64 states/eV/f.u.
Spin magnetization   0.37 μB/atom

abc: 2.6947 2.6947 25.4597
angles: 90.00 90.00 120.00
Closest atoms and distances in Å follow each position.
Space group R-3m (No. 166, hexagonal axes)
Symmetry-distinct sites (fractional):
Co  0.0000  0.0000  0.2459 (multiplicity 6)  3 Mo 2.55, 6 Co 2.69, 3 Au 2.72
Mo  0.0000  0.0000  0.5000 (multiplicity 3)  6 Co 2.55, 6 Mo 2.69
Au  0.0000  0.0000  0.0000 (multiplicity 3)  6 Au 2.69, 6 Co 2.72



Entry 2:
Entry from Alexandria via LeMat-Bulk: crystalline NiAg2Ir at its relaxed geometry (GGA-PBEsol).

Output
N(E_F)   6.81 states/eV/f.u.
Energy above the lowest structure with this stoichiometry   14.4 meV/atom
Spin magnetization   0.26 μB/atom

abc: 3.7646 3.7646 8.1381
angles: 90.00 90.00 90.00
Closest atoms and distances in Å follow each position.
Space group I4/mmm (No. 139)
Symmetry-distinct sites (fractional):
Ni  0.0000  0.0000  0.0000 (multiplicity 2)  4 Ir 2.66, 8 Ag 2.77
Ag  0.0000  0.5000  0.2500 (multiplicity 4)  4 Ag 2.66, 4 Ni 2.77, 4 Ir 2.77
Ir  0.0000  0.0000  0.5000 (multiplicity 2)  4 Ni 2.66, 8 Ag 2.77



Entry 3:
Entry from Alexandria via LeMat-Bulk: crystalline ScMoAu2 at its relaxed geometry (GGA-PBEsol).

Output
N(E_F)   4.22 states/eV/f.u.
Energy above the lowest structure with this stoichiometry   136.0 meV/atom
Spin magnetization   0.39 μB/atom

abc: 6.5405 6.5405 6.5405
angles: 90.00 90.00 90.00
Closest atoms and distances in Å follow each position.
Space group Fm-3m (No. 225)
Symmetry-distinct sites (fractional):
Sc  0.0000  0.0000  0.0000 (multiplicity 4)  8 Au 2.83
Mo  0.0000  0.0000  0.5000 (multiplicity 4)  8 Au 2.83
Au  0.2500  0.2500  0.2500 (multiplicity 8)  4 Mo 2.83, 4 Sc 2.83